# 1
Computed, not measured: a geometry-optimized RbLi2ErBr6 structure at the PBE level of DFT.

Computed properties:
ΔE_f (raw) = -1.7314 eV per atom
Size of the total moment = 0.00 μB per cell

Cell: 6.9536 6.9536 25.0254 Å, 90.00 90.00 120.00°
Closest atoms and distances in Å follow each position.
Space group R-3 (No. 148, hexagonal axes)
Symmetry-distinct sites (fractional):
Rb (0.0000, 0.0000, 0.0000)  6 Br 3.50
Li (0.0000, 0.0000, 0.1703)  6 Br 2.74-2.85
Er (0.0000, 0.0000, 0.5000)  6 Br 2.78
Br (0.0008, 0.3328, 0.4379)  2 Li 2.74-2.85, 1 Er 2.78

# 2
Computed, not measured: a geometry-optimized ScHgP2 structure at the PBE level of DFT.

Computed properties:
ΔE_f = -0.110 eV per atom
Size of the total moment = 0.00 μB per cell

Cell: 3.3809 3.3809 23.2681 Å, 90.00 90.00 120.00°
Closest atoms and distances in Å follow each position.
Space group R3m (No. 160, hexagonal axes)
Symmetry-distinct sites (fractional):
Sc (0.0000, 0.0000, 0.0000)  3 P 2.75, 3 Hg 2.99
Hg (0.0000, 0.0000, 0.7642)  3 P 2.95, 3 Sc 2.99
P (0.0000, 0.0000, 0.2498)  3 P 2.36
P (0.0000, 0.0000, 0.5261)  3 P 2.36